Material: NaGe2Sb2
Method: DFT, GGA-PBE
State: relaxed

Properties
**ΔE_f (raw)**: 44.7 kJ/mol of formula units
**Total moment**: 0.00 μB per cell

Cell: 8.2691 8.2691 3.7902 Å, 90.00 90.00 90.00°
Space group P4/mbm (No. 127)
Symmetry-distinct sites (fractional):
Na 0.0000 0.0000 0.0000 x2
Ge 0.1358 0.3642 0.5000 x4
Sb 0.1461 0.6461 0.0000 x4

---

Material: Na3GeSb
Method: DFT, GGA-PBE
State: relaxed

Properties
**ΔE to the lowest computed polymorph**: 585 meV/atom
**ΔE_f (raw)**: 159.1 kJ/mol of formula units
**Total moment**: 0.19 μB per cell

Cell: 5.4587 5.4587 5.4587 Å, 90.00 90.00 90.00°
Space group Pm-3m (No. 221)
Symmetry-distinct sites (fractional):
Na 0.0000 0.0000 0.5000 x3
Ge 0.0000 0.0000 0.0000 x1
Sb 0.5000 0.5000 0.5000 x1

---

Material: Na2GeSbSe5
Method: DFT, GGA-PBE
State: relaxed

Properties
**ΔE_f (raw)**: -465.0 kJ/mol of formula units
**Total moment**: 0.00 μB per cell

Cell: 3.8154 19.0767 13.3277 Å, 90.00 90.00 90.00°
Space group Cmc2_1 (No. 36)
Symmetry-distinct sites (fractional):
Na 0.0000 0.1066 0.0000 x4
Na 0.0000 0.1163 0.6615 x4
Ge 0.0000 0.4361 0.7580 x4
Sb 0.0000 0.2237 0.3838 x4
Se 0.0000 0.0393 0.3702 x4
Se 0.0000 0.2711 0.0305 x4
Se 0.0000 0.3119 0.7247 x4
Se 0.0000 0.3538 0.3349 x4
Se 0.0000 0.4959 0.6065 x4

---

Material: Na2TcGeSb
Method: DFT, GGA-PBE
State: relaxed

Properties
**ΔE_f (raw)**: 411.5 kJ/mol of formula units
**Total moment**: 1.69 μB per cell

Cell: 5.5863 5.5863 5.0549 Å, 90.00 90.00 90.00°
Space group P4/mmm (No. 123)
Symmetry-distinct sites (fractional):
Na 0.0000 0.5000 0.0000 x2
Tc 0.0000 0.0000 0.5000 x1
Ge 0.5000 0.5000 0.5000 x1
Sb 0.0000 0.0000 0.0000 x1